# 1
BiPdF2: relaxed, PBE.

Raw formation energy in eV per atom: -0.926
Crystal system: cubic
Total magnetization in μB/atom: 0.000

Cell: 4.422 4.422 4.422 Å, 60.00 60.00 60.00°
Positions (direct):
Bi (0.500, 0.500, 0.500)
Pd (0.000, 0.000, 0.000)
F (0.250, 0.250, 0.250)
F (0.750, 0.750, 0.750)


# 2
BiPd2F11: relaxed, PBE.

Raw formation energy in eV per atom: -1.509
Crystal system: tetragonal
Total magnetization in μB/atom: 0.000

Cell: 8.882 8.161 8.161 Å, 65.95 57.03 57.03°
Positions (direct):
Bi (0.750, 0.750, 0.750)
Bi (0.250, 0.250, 0.250)
Pd (0.666, 0.666, 0.334)
Pd (0.334, 0.334, 0.666)
Pd (0.834, 0.166, 0.834)
Pd (0.166, 0.834, 0.166)
F (0.645, 0.694, 0.575)
F (0.355, 0.306, 0.425)
F (0.086, 0.575, 0.694)
F (0.855, 0.925, 0.806)
F (0.914, 0.425, 0.306)
F (0.145, 0.075, 0.194)
F (0.414, 0.806, 0.925)
F (0.586, 0.194, 0.075)
F (0.500, 0.500, 0.500)
F (0.000, 0.000, 0.000)
F (0.815, 0.815, 0.185)
F (0.185, 0.185, 0.815)
F (0.685, 0.315, 0.685)
F (0.315, 0.685, 0.315)
F (0.425, 0.914, 0.355)
F (0.575, 0.086, 0.645)
F (0.305, 0.355, 0.914)
F (0.075, 0.145, 0.586)
F (0.695, 0.645, 0.086)
F (0.925, 0.855, 0.414)
F (0.195, 0.586, 0.145)
F (0.805, 0.414, 0.855)


# 3
Bi3PdF: relaxed, PBE.

Raw formation energy in eV per atom: -0.134
Crystal system: cubic
Total magnetization in μB/atom: 0.000

Cell: 5.000 5.000 5.000 Å, 90.00 90.00 90.00°
Positions (direct):
Bi (0.000, 0.500, 0.000)
Bi (0.000, 0.000, 0.500)
Bi (0.500, 0.000, 0.000)
Pd (0.500, 0.500, 0.500)
F (0.000, 0.000, 0.000)


# 4
BiPdF5: relaxed, PBE.

Raw formation energy in eV per atom: -1.765
Crystal system: monoclinic
Total magnetization in μB/atom: 0.230

Cell: 5.992 5.992 8.562 Å, 68.66 68.66 72.41°
Each line ends with the local moment (μB).
Positions (direct):
Bi (0.000, 0.000, 0.000)  0.04
Bi (0.000, 0.000, 0.500)  0.04
Pd (0.516, 0.484, 0.750)  1.21
Pd (0.484, 0.516, 0.250)  1.21
F (0.118, 0.882, 0.250)  0.01
F (0.882, 0.118, 0.750)  0.01
F (0.232, 0.284, 0.361)  0.04
F (0.716, 0.768, 0.139)  0.04
F (0.703, 0.322, 0.054)  0.10
F (0.678, 0.297, 0.446)  0.10
F (0.297, 0.678, 0.946)  0.10
F (0.322, 0.703, 0.554)  0.10
F (0.284, 0.232, 0.861)  0.04
F (0.768, 0.716, 0.639)  0.04


Repeat the third record exactly.
Bi3PdF: relaxed, PBE.

Raw formation energy in eV per atom: -0.134
Crystal system: cubic
Total magnetization in μB/atom: 0.000

Cell: 5.000 5.000 5.000 Å, 90.00 90.00 90.00°
Positions (direct):
Bi (0.000, 0.500, 0.000)
Bi (0.000, 0.000, 0.500)
Bi (0.500, 0.000, 0.000)
Pd (0.500, 0.500, 0.500)
F (0.000, 0.000, 0.000)


Among the records above, which one has the highest total magnetization?
BiPdF5


Repeat the first record exactly.
BiPdF2: relaxed, PBE.

Raw formation energy in eV per atom: -0.926
Crystal system: cubic
Total magnetization in μB/atom: 0.000

Cell: 4.422 4.422 4.422 Å, 60.00 60.00 60.00°
Positions (direct):
Bi (0.500, 0.500, 0.500)
Pd (0.000, 0.000, 0.000)
F (0.250, 0.250, 0.250)
F (0.750, 0.750, 0.750)


Please write out number 1 again, unchanged.
BiPdF2: relaxed, PBE.

Raw formation energy in eV per atom: -0.926
Crystal system: cubic
Total magnetization in μB/atom: 0.000

Cell: 4.422 4.422 4.422 Å, 60.00 60.00 60.00°
Positions (direct):
Bi (0.500, 0.500, 0.500)
Pd (0.000, 0.000, 0.000)
F (0.250, 0.250, 0.250)
F (0.750, 0.750, 0.750)